# 1
SrMgCl2 after structural relaxation, computed with GGA-PBEsol.

Cell and atoms, written as POSCAR:
```
SrMgCl2
1.0
-2.9040 2.8244 -1.2243
0.1651 -1.5378 -3.9392
-2.8223 -4.3947 3.8705
Cl Mg Sr
2 1 1
Direct
0.0000 0.0000 0.0000 Cl
0.7500 0.2500 0.5000 Cl
0.5000 0.5000 0.0000 Mg
0.2500 0.7500 0.5000 Sr
```

Computed properties:
- space group = I-4m2
- E above lowest polymorph (meV/atom) = 227.0
- ΔE_f (raw) (kJ/mol of formula units) = -484
- E_tot (eV per formula unit) = -12.59



# 2
Ti3TlHg after structural relaxation, computed with GGA-PBEsol.

Cell and atoms, written as POSCAR:
```
Ti3TlHg
1.0
4.9856 0.0000 0.0000
0.0000 4.9856 0.0000
0.0000 0.0000 4.9856
Tl Hg Ti
1 1 3
Direct
0.0000 0.0000 0.0000 Tl
0.5000 0.5000 0.5000 Hg
0.0000 0.5000 0.0000 Ti
0.0000 0.0000 0.5000 Ti
0.5000 0.0000 0.0000 Ti
```

Computed properties:
- space group = Pm-3m
- formation energy (eV per atom) = 1.1927
- E_tot (eV per formula unit) = -22.20



# 3
CoPbIO2 after structural relaxation, computed with GGA-PBEsol.

Cell and atoms, written as POSCAR:
```
CoPbIO2
1.0
4.1289 0.0000 0.0000
0.0000 4.1289 0.0000
0.0000 0.0000 4.9618
Pb I Co O
1 1 1 2
Direct
0.5000 0.5000 0.5000 Pb
0.0000 0.0000 0.5000 I
0.0000 0.0000 0.0000 Co
0.0000 0.5000 0.0000 O
0.5000 0.0000 0.0000 O
```

Computed properties:
- space group = P4/mmm
- ΔE_f (raw) (kJ/mol of formula units) = -18
- E_tot (eV per formula unit) = -24.19



# 4
Tl2Pt5S6 after structural relaxation, computed with GGA-PBEsol.

Cell and atoms, written as POSCAR:
```
Tl2Pt5S6
1.0
-6.1619 3.0978 -0.5958
-1.7526 -2.2657 6.3448
5.4702 8.4422 4.5257
Tl Pt S
4 10 12
Direct
0.8831 0.7888 0.5468 Tl
0.6169 0.2888 0.9532 Tl
0.1169 0.2112 0.4532 Tl
0.3831 0.7112 0.0468 Tl
0.2561 0.3103 0.7555 Pt
0.2439 0.8103 0.7445 Pt
0.7315 0.0706 0.7309 Pt
0.7685 0.5706 0.7691 Pt
0.2685 0.9294 0.2691 Pt
0.2315 0.4294 0.2309 Pt
0.0000 0.0000 0.0000 Pt
0.5000 0.5000 0.5000 Pt
0.7439 0.6897 0.2445 Pt
0.7561 0.1897 0.2555 Pt
0.7316 0.8409 0.8889 S
0.7684 0.3409 0.6111 S
0.2684 0.1591 0.1111 S
0.2316 0.6591 0.3889 S
0.9367 0.9364 0.1946 S
0.5633 0.4364 0.3054 S
0.4054 0.0576 0.6603 S
0.0946 0.5576 0.8397 S
0.5946 0.9424 0.3397 S
0.9054 0.4424 0.1603 S
0.4367 0.5636 0.6946 S
0.0633 0.0636 0.8054 S
```

Computed properties:
- space group = P2_1/c
- ΔE_f (raw) (kJ/mol of formula units) = -567
- E_tot (eV per formula unit) = -72.26



- The highest E_tot belongs to which entry?
  SrMgCl2



- Among the records above, which one has the lowest E_tot?
  Tl2Pt5S6



- E_tot of number 4 (Tl2Pt5S6)?
  -72.26 eV per formula unit